Entry from the Alexandria database: a relaxed structure of Li2MnSb (PBE).

* uncorrected formation energy: -0.89 eV per formula unit
* DOS at the Fermi energy: 0.455 states/eV/atom
* raw total energy: -4.502 eV per atom

```
data_Li2MnSb
_cell_length_a 6.447
_cell_length_b 6.447
_cell_length_c 6.447
_cell_angle_alpha 90.00
_cell_angle_beta 90.00
_cell_angle_gamma 90.00
_space_group_name_H-M_alt 'F -4 3 m'
_space_group_IT_number 216
_space_group_name_Hall 'F -4 2 3'
loop_
_atom_site_label
_atom_site_fract_x
_atom_site_fract_y
_atom_site_fract_z
_atom_site_occupancy
Li1 0.000 0.000 0.000 1
Li2 0.250 0.250 0.250 1
Mn1 0.000 0.000 0.500 1
Sb1 0.250 0.250 0.750 1
```


Entry from the Alexandria database: a relaxed structure of Li2MnSb (PBE).

* uncorrected formation energy: -0.12 eV per formula unit
* DOS at the Fermi energy: 0.574 states/eV/atom
* raw total energy: -4.309 eV per atom

```
data_Li2MnSb
_cell_length_a 3.120
_cell_length_b 4.254
_cell_length_c 5.545
_cell_angle_alpha 90.00
_cell_angle_beta 90.17
_cell_angle_gamma 90.00
_space_group_name_H-M_alt 'P 1 2/m 1'
_space_group_IT_number 10
loop_
_space_group_symop_operation_xyz
'x,y,z'
'-x,-y,-z'
'-x,y,-z'
'x,-y,z'
loop_
_atom_site_label
_atom_site_fract_x
_atom_site_fract_y
_atom_site_fract_z
_atom_site_occupancy
Li1 0.000 0.000 0.248 1
Mn1 0.500 0.500 0.500 1
Sb1 0.500 0.500 0.000 1
```


Entry from the Alexandria database: a relaxed structure of LiMn2Sb (PBE).

* uncorrected formation energy: 0.19 eV per formula unit
* DOS at the Fermi energy: 0.638 states/eV/atom
* raw total energy: -6.046 eV per atom

```
data_LiMn2Sb
_cell_length_a 3.907
_cell_length_b 3.907
_cell_length_c 3.996
_cell_angle_alpha 90.00
_cell_angle_beta 90.00
_cell_angle_gamma 90.00
_space_group_name_H-M_alt 'P 4/m m m'
_space_group_IT_number 123
_space_group_name_Hall '-P 4 2'
loop_
_atom_site_label
_atom_site_fract_x
_atom_site_fract_y
_atom_site_fract_z
_atom_site_occupancy
Li1 0.000 0.000 0.000 1
Mn1 0.000 0.500 0.500 1
Sb1 0.500 0.500 0.000 1
```


Entry from the Alexandria database: a relaxed structure of Li2MnSb (PBE).

* uncorrected formation energy: 0.81 eV per formula unit
* DOS at the Fermi energy: 1.074 states/eV/atom
* raw total energy: -4.077 eV per atom

```
data_Li2MnSb
_cell_length_a 3.1971
_cell_length_b 3.1971
_cell_length_c 27.8035
_cell_angle_alpha 90.00
_cell_angle_beta 90.00
_cell_angle_gamma 120.00
_space_group_name_H-M_alt 'R -3 m'
_space_group_IT_number 166
_space_group_name_Hall '-R 3 2"'
loop_
_atom_site_label
_atom_site_fract_x
_atom_site_fract_y
_atom_site_fract_z
_atom_site_occupancy
Li1 0.0000 0.0000 0.2472 1
Mn1 0.0000 0.0000 0.0000 1
Sb1 0.0000 0.0000 0.5000 1
```


Entry from the Alexandria database: a relaxed structure of LiMnSb2 (PBE).

* energy above the most stable polymorph in this dataset: 112 meV/atom
* uncorrected formation energy: -0.13 eV per formula unit
* DOS at the Fermi energy: 0.347 states/eV/atom
* raw total energy: -4.866 eV per atom

```
data_LiMnSb2
_cell_length_a 6.589
_cell_length_b 7.934
_cell_length_c 3.183
_cell_angle_alpha 90.00
_cell_angle_beta 90.00
_cell_angle_gamma 90.00
_space_group_name_H-M_alt 'C m m m'
_space_group_IT_number 65
_space_group_name_Hall '-C 2 2'
loop_
_atom_site_label
_atom_site_fract_x
_atom_site_fract_y
_atom_site_fract_z
_atom_site_occupancy
Li1 0.000 0.000 0.000 1
Mn1 0.000 0.500 0.000 1
Sb1 0.250 0.250 0.500 1
```


Entry from the Alexandria database: a relaxed structure of LiMnSb2 (PBE).

* energy above the most stable polymorph in this dataset: 93 meV/atom
* uncorrected formation energy: -0.21 eV per formula unit
* DOS at the Fermi energy: 0.494 states/eV/atom
* raw total energy: -4.885 eV per atom

```
data_LiMnSb2
_cell_length_a 3.245
_cell_length_b 3.929
_cell_length_c 6.711
_cell_angle_alpha 90.00
_cell_angle_beta 100.92
_cell_angle_gamma 90.00
_space_group_name_H-M_alt 'P 1 2/m 1'
_space_group_IT_number 10
loop_
_space_group_symop_operation_xyz
'x,y,z'
'-x,-y,-z'
'-x,y,-z'
'x,-y,z'
loop_
_atom_site_label
_atom_site_fract_x
_atom_site_fract_y
_atom_site_fract_z
_atom_site_occupancy
Li1 0.000 0.000 0.000 1
Mn1 0.000 0.000 0.500 1
Sb1 0.466 0.500 0.737 1
```


Entry from the Alexandria database: a relaxed structure of Li2MnSb (PBE).

* uncorrected formation energy: 0.11 eV per formula unit
* DOS at the Fermi energy: 0.619 states/eV/atom
* raw total energy: -4.252 eV per atom

```
data_Li2MnSb
_cell_length_a 5.542
_cell_length_b 9.786
_cell_length_c 3.127
_cell_angle_alpha 90.00
_cell_angle_beta 119.68
_cell_angle_gamma 90.00
_space_group_name_H-M_alt 'C 1 2/m 1'
_space_group_IT_number 12
loop_
_space_group_symop_operation_xyz
'x,y,z'
'-x,-y,-z'
'-x,y,-z'
'x,-y,z'
'x+1/2,y+1/2,z'
'-x+1/2,-y+1/2,-z'
'-x+1/2,y+1/2,-z'
'x+1/2,-y+1/2,z'
loop_
_atom_site_label
_atom_site_fract_x
_atom_site_fract_y
_atom_site_fract_z
_atom_site_occupancy
Li1 0.250 0.250 0.000 1
Mn1 0.000 0.000 0.500 1
Sb1 0.000 0.500 0.500 1
```


Entry from the Alexandria database: a relaxed structure of Li2MnSb (PBE).

* uncorrected formation energy: -0.45 eV per formula unit
* DOS at the Fermi energy: 0.712 states/eV/atom
* raw total energy: -4.392 eV per atom

```
data_Li2MnSb
_cell_length_a 4.064
_cell_length_b 4.064
_cell_length_c 8.544
_cell_angle_alpha 90.00
_cell_angle_beta 90.00
_cell_angle_gamma 90.00
_space_group_name_H-M_alt 'I 4/m m m'
_space_group_IT_number 139
_space_group_name_Hall '-I 4 2'
loop_
_atom_site_label
_atom_site_fract_x
_atom_site_fract_y
_atom_site_fract_z
_atom_site_occupancy
Li1 0.000 0.500 0.250 1
Mn1 0.000 0.000 0.000 1
Sb1 0.000 0.000 0.500 1
```


Entry from the Alexandria database: a relaxed structure of LiMnSb2 (PBE).

* energy above the most stable polymorph in this dataset: 110 meV/atom
* uncorrected formation energy: -0.15 eV per formula unit
* DOS at the Fermi energy: 0.516 states/eV/atom
* raw total energy: -4.869 eV per atom

```
data_LiMnSb2
_cell_length_a 4.052
_cell_length_b 4.080
_cell_length_c 9.955
_cell_angle_alpha 90.00
_cell_angle_beta 90.00
_cell_angle_gamma 90.00
_space_group_name_H-M_alt 'I m m 2'
_space_group_IT_number 44
loop_
_space_group_symop_operation_xyz
'x,y,z'
'-x,-y,z'
'-x,y,z'
'x,-y,z'
'x+1/2,y+1/2,z+1/2'
'-x+1/2,-y+1/2,z+1/2'
'-x+1/2,y+1/2,z+1/2'
'x+1/2,-y+1/2,z+1/2'
loop_
_atom_site_label
_atom_site_fract_x
_atom_site_fract_y
_atom_site_fract_z
_atom_site_occupancy
Li1 0.000 0.000 0.000 1
Mn1 0.000 0.500 0.248 1
Sb1 0.000 0.000 0.505 1
Sb2 0.000 0.500 0.753 1
```


Entry from the Alexandria database: a relaxed structure of LiMnSb2 (PBE).

* energy above the most stable polymorph in this dataset: 96 meV/atom
* uncorrected formation energy: -0.20 eV per formula unit
* DOS at the Fermi energy: 0.388 states/eV/atom
* raw total energy: -4.882 eV per atom

```
data_LiMnSb2
_cell_length_a 10.828
_cell_length_b 3.128
_cell_length_c 4.892
_cell_angle_alpha 90.00
_cell_angle_beta 94.19
_cell_angle_gamma 90.00
_space_group_name_H-M_alt 'C 1 m 1'
_space_group_IT_number 8
loop_
_space_group_symop_operation_xyz
'x,y,z'
'x,-y,z'
'x+1/2,y+1/2,z'
'x+1/2,-y+1/2,z'
loop_
_atom_site_label
_atom_site_fract_x
_atom_site_fract_y
_atom_site_fract_z
_atom_site_occupancy
Li1 0.000 0.000 0.000 1
Mn1 0.311 0.500 0.532 1
Sb1 0.038 0.500 0.500 1
Sb2 0.267 0.000 0.022 1
```


Entry from the Alexandria database: a relaxed structure of Li2MnSbSe4 (PBE).

* uncorrected formation energy: -5.29 eV per formula unit
* DOS at the Fermi energy: 0.365 states/eV/atom
* raw total energy: -4.543 eV per atom

```
data_Li2MnSbSe4
_cell_length_a 6.783
_cell_length_b 3.891
_cell_length_c 6.824
_cell_angle_alpha 90.00
_cell_angle_beta 109.36
_cell_angle_gamma 90.00
_space_group_name_H-M_alt 'P 1 2/m 1'
_space_group_IT_number 10
loop_
_space_group_symop_operation_xyz
'x,y,z'
'-x,-y,-z'
'-x,y,-z'
'x,-y,z'
loop_
_atom_site_label
_atom_site_fract_x
_atom_site_fract_y
_atom_site_fract_z
_atom_site_occupancy
Li1 0.000 0.000 0.000 1
Li2 0.500 0.500 0.000 1
Mn1 0.000 0.500 0.500 1
Sb1 0.500 0.000 0.500 1
Se1 0.228 0.000 0.736 1
Se2 0.229 0.500 0.249 1
```


Entry from the Alexandria database: a relaxed structure of LiMn2TcSb (PBE).

* uncorrected formation energy: 8.44 eV per formula unit
* DOS at the Fermi energy: 1.675 states/eV/atom
* raw total energy: -5.261 eV per atom

```
data_LiMn2TcSb
_cell_length_a 4.664
_cell_length_b 4.664
_cell_length_c 4.521
_cell_angle_alpha 90.00
_cell_angle_beta 90.00
_cell_angle_gamma 90.00
_space_group_name_H-M_alt 'P 4/m m m'
_space_group_IT_number 123
_space_group_name_Hall '-P 4 2'
loop_
_atom_site_label
_atom_site_fract_x
_atom_site_fract_y
_atom_site_fract_z
_atom_site_occupancy
Li1 0.000 0.000 0.000 1
Mn1 0.000 0.500 0.500 1
Tc1 0.500 0.500 0.000 1
Sb1 0.000 0.000 0.500 1
```